Record 1
Below is a relaxed structure of SbTe2IrF, with properties calculated at the PBE level.

Output
- Relative energy among the computed polymorphs: 332.4 meV per atom
- ΔE_f (raw): 0.6030 eV per atom
- N(E_F): 5.9 states/eV/cell
- M_tot: 0.0 μB/f.u.
- Space group: No. 123

```
SbTe2IrF
1.0
5.033 0.000 0.000
0.000 5.033 0.000
0.000 0.000 4.454
Sb Te Ir F
1 2 1 1
Direct
0.000 0.000 0.000
0.000 0.500 0.500
0.500 0.000 0.500
0.500 0.500 0.000
0.000 0.000 0.500
```


Record 2
Below is a relaxed structure of Dy2ErMg4, with properties calculated at the PBE level.

Output
- Relative energy among the computed polymorphs: 0.0 meV per atom
- N(E_F): 6.1 states/eV/cell
- M_tot: 0.4 μB/f.u.
- Space group: No. 139

```
Dy2ErMg4
1.0
-2.687 2.687 7.169
2.687 -2.687 7.169
2.687 2.687 -7.169
Dy Er Mg
2 1 4
Direct
0.250 0.250 0.000
0.750 0.750 0.000
0.000 0.000 0.000
0.117 0.617 0.500
0.383 0.883 0.500
0.617 0.117 0.500
0.883 0.383 0.500
```


Record 3
Below is a relaxed structure of SbRh4Br, with properties calculated at the PBE level.

Output
- ΔE_f (raw): 0.5287 eV per atom
- N(E_F): 11.0 states/eV/cell
- M_tot: 1.6 μB/f.u.
- Space group: No. 216

```
SbRh4Br
1.0
0.000 3.760 3.760
3.760 0.000 3.760
3.760 3.760 0.000
Sb Rh Br
1 4 1
Direct
0.000 0.000 0.000
0.375 0.375 0.375
0.375 0.375 0.876
0.375 0.876 0.375
0.876 0.375 0.375
0.750 0.750 0.750
```


Record 4
Below is a relaxed structure of La2NdSmPt2, with properties calculated at the PBE level.

Output
- N(E_F): 12.9 states/eV/cell
- DFT total energy: -72.3 eV per cell
- M_tot: 0.0 μB/f.u.
- Space group: No. 72

```
La2NdSmPt2
1.0
-3.522 7.148 3.522
3.522 -7.148 3.522
3.522 7.148 -3.522
La Nd Sm Pt
4 2 2 4
Direct
0.194 0.215 0.409
0.306 0.715 0.022
0.694 0.285 0.978
0.806 0.785 0.591
0.250 0.750 0.500
0.750 0.250 0.500
0.250 0.250 0.000
0.750 0.750 0.000
0.111 0.763 0.874
0.389 0.263 0.652
0.611 0.737 0.348
0.889 0.237 0.126
```